[1]
MgPd | GGA-PBE | relaxed

a = 5.141 Å, b = 8.469 Å, c = 4.563 Å
α = 90.00°, β = 90.00°, γ = 90.00°
Atoms (fractional coordinates):
Pd 0.304 0.011 0.500
Pd 0.804 0.156 0.500
Pd 0.983 0.979 0.000
Pd 0.483 0.188 0.000
Pd 0.853 0.498 0.500
Pd 0.353 0.669 0.500
Mg 0.040 0.656 0.000
Mg 0.339 0.334 0.500
Mg 0.540 0.511 0.000
Mg 0.481 0.874 0.000
Mg 0.839 0.832 0.500
Mg 0.981 0.293 0.000

Values from the calculation:
SG = Pmc2_1, No. 26
Raw total energy = -7.8 eV per formula unit

[2]
Dy2B2Pd2CN | GGA-PBE | relaxed

a = 3.725 Å, b = 3.725 Å, c = 7.700 Å
α = 90.00°, β = 90.00°, γ = 90.00°
Atoms (fractional coordinates):
Pd 0.000 0.500 0.496
Pd 0.500 0.000 0.496
C 0.000 0.000 0.859
B 0.000 0.000 0.667
B 0.500 0.500 0.330
N 0.500 0.500 0.146
Dy 0.500 0.500 0.844
Dy 0.000 0.000 0.163

Values from the calculation:
SG = P4mm, No. 99
Magnetic moment = 0.0 μB/f.u.
Raw total energy = -56.8 eV per formula unit

[3]
La2TbTe3 | GGA-PBE | relaxed

a = 4.492 Å, b = 4.492 Å, c = 11.139 Å
α = 90.00°, β = 90.00°, γ = 120.00°
Atoms (fractional coordinates):
Tb 0.000 0.000 0.500
La 0.667 0.333 0.828
La 0.333 0.667 0.172
Te 0.333 0.667 0.653
Te 0.000 0.000 0.000
Te 0.667 0.333 0.347

Values from the calculation:
SG = P-3m1, No. 164
Magnetic moment = 0.0 μB/f.u.
Raw total energy = -32.9 eV per formula unit

[4]
PmSiTe | GGA-PBE | relaxed

a = 4.939 Å, b = 4.939 Å, c = 4.939 Å
α = 60.00°, β = 60.00°, γ = 60.00°
Atoms (fractional coordinates):
Pm 0.250 0.250 0.250
Te 0.750 0.750 0.750
Si 0.000 0.000 0.000

Values from the calculation:
SG = F-43m, No. 216
Excess energy over the best structure of this formula in the dataset = 0.0 kJ/mol of formula units
Magnetic moment = 0.3 μB/f.u.

[5]
ScNbNiSn | GGA-PBE | relaxed

a = 4.672 Å, b = 4.672 Å, c = 4.672 Å
α = 60.00°, β = 60.00°, γ = 60.00°
Atoms (fractional coordinates):
Nb 0.250 0.250 0.250
Sc 0.500 0.500 0.500
Ni 0.750 0.750 0.750
Sn 0.000 0.000 0.000

Values from the calculation:
SG = F-43m, No. 216
Excess energy over the best structure of this formula in the dataset = 0.0 kJ/mol of formula units
Magnetic moment = 2.1 μB/f.u.

[6]
TcAs2Ir | GGA-PBE | relaxed

a = 4.481 Å, b = 4.481 Å, c = 4.481 Å
α = 60.00°, β = 60.00°, γ = 60.00°
Atoms (fractional coordinates):
Tc 0.500 0.500 0.500
Ir 0.250 0.250 0.250
As 0.000 0.000 0.000
As 0.750 0.750 0.750

Values from the calculation:
SG = F-43m, No. 216
Magnetic moment = 0.1 μB/f.u.
Raw total energy = -26.5 eV per formula unit